1.
VASP calculation (PBE) on a geometry-optimized Pm6SiNi2Cl3 structure. Values from VASP.

The structure in Quantum ESPRESSO input format:
```
&SYSTEM
  ibrav = 0, nat = 12, ntyp = 4
/
ATOMIC_SPECIES
Pm 145.00 Pm.upf
Si 28.09 Si.upf
Ni 58.69 Ni.upf
Cl 35.45 Cl.upf
ATOMIC_POSITIONS crystal
Pm 0.011 0.011 0.242
Pm 0.327 0.327 0.435
Pm 0.337 0.337 0.881
Pm 0.663 0.663 0.119
Pm 0.673 0.673 0.565
Pm 0.989 0.989 0.758
Si 0.500 0.500 0.000
Ni 0.170 0.170 0.345
Ni 0.830 0.830 0.655
Cl 0.161 0.161 0.841
Cl 0.500 0.500 0.500
Cl 0.839 0.839 0.159
CELL_PARAMETERS angstrom
9.236 -2.021 0.000
9.236 2.021 0.000
-2.491 0.000 8.272
```

The calculation puts the density of states at the Fermi level at 9.332 states/eV/f.u. The raw total energy comes out at -5.226 eV per atom. As for the formation energy without anion corrections: -0.973 eV/atom. The total magnetization is 0.000 μB/cell. The mass density comes out at 6.03 g/cm3.


2.
VASP calculation (PBE) on a geometry-optimized KPrEuSbO6 structure. Values from VASP.

The structure in Quantum ESPRESSO input format:
```
&SYSTEM
  ibrav = 0, nat = 10, ntyp = 5
/
ATOMIC_SPECIES
K 39.10 K.upf
Pr 140.91 Pr.upf
Eu 151.96 Eu.upf
Sb 121.76 Sb.upf
O 16.00 O.upf
ATOMIC_POSITIONS crystal
K 0.000 0.000 0.000
Pr 0.250 0.250 0.250
Eu 0.500 0.500 0.500
Sb 0.750 0.750 0.750
O 0.519 0.519 0.981
O 0.519 0.981 0.519
O 0.519 0.981 0.981
O 0.981 0.519 0.519
O 0.981 0.519 0.981
O 0.981 0.981 0.519
CELL_PARAMETERS angstrom
0.000 4.307 4.307
4.307 0.000 4.307
4.307 4.307 0.000
```

The calculation puts the density of states at the Fermi level at 13.832 states/eV/f.u. The raw total energy comes out at -7.156 eV per atom. The polymorph energy (0 for the lowest one) comes out at 0.0 meV/atom. As for the formation energy without anion corrections: -2.154 eV/atom. The total magnetization is 5.954 μB/cell. The mass density comes out at 5.71 g/cm3.


3.
VASP calculation (PBE) on a geometry-optimized Pm2Ho6Er3Tl structure. Values from VASP.

The structure in Quantum ESPRESSO input format:
```
&SYSTEM
  ibrav = 0, nat = 12, ntyp = 4
/
ATOMIC_SPECIES
Pm 145.00 Pm.upf
Ho 164.93 Ho.upf
Er 167.26 Er.upf
Tl 204.38 Tl.upf
ATOMIC_POSITIONS crystal
Pm 0.166 0.834 0.000
Pm 0.834 0.166 0.000
Ho 0.088 0.417 0.749
Ho 0.255 0.255 0.252
Ho 0.417 0.088 0.749
Ho 0.583 0.912 0.251
Ho 0.745 0.745 0.748
Ho 0.912 0.583 0.251
Er 0.000 0.000 0.500
Er 0.333 0.667 0.500
Er 0.667 0.333 0.500
Tl 0.500 0.500 0.000
CELL_PARAMETERS angstrom
3.032 -5.256 0.000
3.032 5.256 0.000
-2.034 0.000 11.496
```

The calculation puts the density of states at the Fermi level at 15.615 states/eV/f.u. For the formation energy, the calculation gives -0.307 eV per formula unit. The raw total energy comes out at -4.444 eV per atom. The total magnetization is 0.000 μB/cell. The mass density comes out at 9.00 g/cm3.


4.
VASP calculation (PBE) on a geometry-optimized Rb3Tb3ReO8 structure. Values from VASP.

The structure in Quantum ESPRESSO input format:
```
&SYSTEM
  ibrav = 0, nat = 15, ntyp = 4
/
ATOMIC_SPECIES
Rb 85.47 Rb.upf
Tb 158.93 Tb.upf
Re 186.21 Re.upf
O 16.00 O.upf
ATOMIC_POSITIONS crystal
Rb 0.000 0.500 0.500
Rb 0.500 0.000 0.500
Rb 0.500 0.500 0.000
Tb 0.000 0.000 0.500
Tb 0.000 0.500 0.000
Tb 0.500 0.000 0.000
Re 0.500 0.500 0.500
O 0.224 0.224 0.224
O 0.249 0.708 0.708
O 0.292 0.292 0.751
O 0.292 0.751 0.292
O 0.708 0.249 0.708
O 0.708 0.708 0.249
O 0.751 0.292 0.292
O 0.776 0.776 0.776
CELL_PARAMETERS angstrom
3.429 1.980 6.598
-3.429 1.980 6.598
0.000 -3.959 6.598
```

The raw total energy comes out at -6.991 eV per atom. As for the formation energy without anion corrections: -2.397 eV/atom. The total magnetization is 3.000 μB/cell. The mass density comes out at 6.47 g/cm3.


5.
VASP calculation (PBE) on a geometry-optimized TbCuF structure. Values from VASP.

The structure in Quantum ESPRESSO input format:
```
&SYSTEM
  ibrav = 0, nat = 3, ntyp = 3
/
ATOMIC_SPECIES
Tb 158.93 Tb.upf
Cu 63.55 Cu.upf
F 19.00 F.upf
ATOMIC_POSITIONS crystal
Tb 0.000 0.000 0.000
Cu 0.333 0.667 0.500
F 0.667 0.333 0.000
CELL_PARAMETERS angstrom
3.996 0.000 0.000
-1.998 3.461 0.000
0.000 0.000 4.008
```

The calculation puts the density of states at the Fermi level at 2.264 states/eV/f.u. The raw total energy comes out at -5.007 eV per atom. As for the formation energy without anion corrections: -1.474 eV/atom. The total magnetization is 0.011 μB/cell. The mass density comes out at 7.23 g/cm3.


6.
VASP calculation (PBE) on a geometry-optimized BaNiBr2 structure. Values from VASP.

The structure in Quantum ESPRESSO input format:
```
&SYSTEM
  ibrav = 0, nat = 4, ntyp = 3
/
ATOMIC_SPECIES
Ba 137.33 Ba.upf
Ni 58.69 Ni.upf
Br 79.90 Br.upf
ATOMIC_POSITIONS crystal
Ba 0.000 0.000 0.000
Ni 0.844 0.344 0.500
Br 0.339 0.839 0.500
Br 0.603 0.603 0.000
CELL_PARAMETERS angstrom
-1.956 2.042 7.907
1.956 -2.042 7.907
1.956 2.042 -7.907
```

The calculation puts the density of states at the Fermi level at 1.915 states/eV/f.u. The raw total energy comes out at -3.511 eV per atom. The polymorph energy (0 for the lowest one) comes out at 291.8 meV/atom. As for the formation energy without anion corrections: -0.749 eV/atom. The total magnetization is 0.369 μB/cell. The mass density comes out at 4.68 g/cm3.


7.
VASP calculation (PBE) on a geometry-optimized U2SbPt structure. Values from VASP.

The structure in Quantum ESPRESSO input format:
```
&SYSTEM
  ibrav = 0, nat = 4, ntyp = 3
/
ATOMIC_SPECIES
U 238.03 U.upf
Sb 121.76 Sb.upf
Pt 195.08 Pt.upf
ATOMIC_POSITIONS crystal
U 0.239 0.239 0.239
U 0.761 0.761 0.761
Sb 0.000 0.000 0.000
Pt 0.500 0.500 0.500
CELL_PARAMETERS angstrom
2.042 1.179 7.283
-2.042 1.179 7.283
0.000 -2.358 7.283
```

The calculation puts the density of states at the Fermi level at 10.358 states/eV/f.u. The raw total energy comes out at -8.458 eV per atom. As for the formation energy without anion corrections: -0.273 eV/atom. The total magnetization is 4.794 μB/cell. The mass density comes out at 12.51 g/cm3.


8.
VASP calculation (PBE) on a geometry-optimized CsBHS3 structure. Values from VASP.

The structure in Quantum ESPRESSO input format:
```
&SYSTEM
  ibrav = 0, nat = 12, ntyp = 4
/
ATOMIC_SPECIES
Cs 132.91 Cs.upf
B 10.81 B.upf
H 1.01 H.upf
S 32.06 S.upf
ATOMIC_POSITIONS crystal
Cs 0.175 0.175 0.256
Cs 0.825 0.825 0.744
B 0.127 0.127 0.704
B 0.873 0.873 0.296
H 0.207 0.793 0.500
H 0.793 0.207 0.500
S 0.144 0.687 0.356
S 0.228 0.228 0.850
S 0.313 0.856 0.644
S 0.687 0.144 0.356
S 0.772 0.772 0.150
S 0.856 0.313 0.644
CELL_PARAMETERS angstrom
6.468 -3.588 0.000
6.468 3.588 0.000
-0.359 0.000 8.597
```

The calculation puts the density of states at the Fermi level at 0.346 states/eV/f.u. The raw total energy comes out at -4.368 eV per atom. The total magnetization is 0.000 μB/cell. The mass density comes out at 2.01 g/cm3.


Please write out number 7 again, unchanged.
VASP calculation (PBE) on a geometry-optimized U2SbPt structure. Values from VASP.

The structure in Quantum ESPRESSO input format:
```
&SYSTEM
  ibrav = 0, nat = 4, ntyp = 3
/
ATOMIC_SPECIES
U 238.03 U.upf
Sb 121.76 Sb.upf
Pt 195.08 Pt.upf
ATOMIC_POSITIONS crystal
U 0.239 0.239 0.239
U 0.761 0.761 0.761
Sb 0.000 0.000 0.000
Pt 0.500 0.500 0.500
CELL_PARAMETERS angstrom
2.042 1.179 7.283
-2.042 1.179 7.283
0.000 -2.358 7.283
```

The calculation puts the density of states at the Fermi level at 10.358 states/eV/f.u. The raw total energy comes out at -8.458 eV per atom. As for the formation energy without anion corrections: -0.273 eV/atom. The total magnetization is 4.794 μB/cell. The mass density comes out at 12.51 g/cm3.